Computed, not measured: crystalline CrCd3Ni at its relaxed geometry at the PBE level of DFT.

Calculated values
For the total energy, the calculation gives -2.456 eV per atom. The space-group type is Pm-3m. The size of the total moment comes out at 4.3 Bohr magnetons per cell. The formation energy comes out at 1.17 eV/atom. The volume is 27.586 A^3/atom. Its distance to the lowest polymorph of the same formula is 603.5 meV per atom.

Geometry as extended XYZ:
```
5
Lattice="5.167 0.000 0.000 0.000 5.167 0.000 0.000 0.000 5.167" Properties=species:S:1:pos:R:3 pbc="T T T"
Cd 2.583 0.000 0.000
Cd 0.000 2.583 0.000
Cd 0.000 0.000 2.583
Cr 0.000 0.000 0.000
Ni 2.583 2.583 2.583
```

Computed, not measured: crystalline CrCdNi6 at its relaxed geometry at the PBE level of DFT.

Calculated values
For the total energy, the calculation gives -5.595 eV per atom. The space-group type is Cmmm. The size of the total moment comes out at 2.1 Bohr magnetons per cell. The formation energy comes out at 0.06 eV/atom. The volume is 12.013 A^3/atom.

Geometry as extended XYZ:
```
32
Lattice="6.290 0.001 0.000 -2.110 5.925 0.000 0.000 0.000 10.314" Properties=species:S:1:pos:R:3 pbc="T T T"
Ni 2.020 5.153 8.958
Ni 2.090 2.963 7.735
Ni 0.082 2.284 1.197
Ni 0.004 2.294 8.958
Ni 2.160 0.773 6.513
Ni 2.020 5.153 6.513
Ni 4.132 1.523 5.288
Ni 2.056 5.082 3.960
Ni 0.082 2.284 3.960
Ni 2.090 2.963 2.578
Ni 0.000 0.000 2.578
Ni 4.097 3.642 3.960
Ni 0.048 4.403 10.183
Ni 2.056 5.082 1.197
Ni 4.132 1.523 10.183
Ni 0.048 4.403 5.288
Ni 0.000 0.000 7.735
Ni 0.004 2.294 6.513
Ni 4.097 3.642 1.197
Ni 4.176 3.633 8.958
Ni 2.124 0.844 3.960
Ni 2.159 0.773 8.958
Ni 4.176 3.633 6.513
Ni 2.124 0.844 1.197
Cr 2.090 2.963 5.157
Cr 2.090 2.963 10.313
Cr 4.201 1.474 7.735
Cr -0.021 4.452 7.735
Cd 4.241 1.446 2.578
Cd -0.062 4.481 2.578
Cd 0.000 0.000 10.290
Cd 0.000 0.000 5.181
```

Computed, not measured: crystalline CrCd2Ni2 at its relaxed geometry at the PBE level of DFT.

Calculated values
For the total energy, the calculation gives -4.261 eV per atom. The space-group type is P4/mbm. The size of the total moment comes out at 0.0 Bohr magnetons per cell. The formation energy comes out at 0.34 eV/atom. The volume is 15.329 A^3/atom.

Geometry as extended XYZ:
```
10
Lattice="6.033 0.000 0.000 0.000 6.033 0.000 0.000 0.000 4.211" Properties=species:S:1:pos:R:3 pbc="T T T"
Ni 2.193 5.210 0.000
Ni 3.840 0.823 0.000
Ni 0.823 2.193 0.000
Ni 5.210 3.840 0.000
Cr 3.017 3.017 0.000
Cr 0.000 0.000 0.000
Cd 1.964 1.053 2.106
Cd 1.053 4.070 2.106
Cd 4.070 4.980 2.106
Cd 4.980 1.964 2.106
```

Computed, not measured: crystalline CrCdNi at its relaxed geometry at the PBE level of DFT.

Calculated values
For the total energy, the calculation gives -5.130 eV per atom. The space-group type is I4mm. The size of the total moment comes out at 0.0 Bohr magnetons per cell. The formation energy comes out at 0.31 eV/atom. The volume is 14.180 A^3/atom. Its distance to the lowest polymorph of the same formula is 0.0 meV per atom.

Geometry as extended XYZ:
```
3
Lattice="-0.076 -1.868 -5.726 2.591 -1.635 -5.186 0.189 -2.714 0.231" Properties=species:S:1:pos:R:3 pbc="T T T"
Ni 1.780 -3.253 -7.389
Cd 0.196 -2.717 0.198
Cr 0.917 -2.961 -3.257
```

Computed, not measured: crystalline CrCd3Ni at its relaxed geometry at the PBE level of DFT.

Calculated values
For the total energy, the calculation gives -3.059 eV per atom. The space-group type is Pm-3m. The size of the total moment comes out at 4.8 Bohr magnetons per cell. The formation energy comes out at 0.57 eV/atom. The volume is 23.519 A^3/atom. Its distance to the lowest polymorph of the same formula is 0.0 meV per atom.

Geometry as extended XYZ:
```
5
Lattice="-1.426 4.163 -2.155 -4.469 -0.529 1.936 1.412 2.529 3.951" Properties=species:S:1:pos:R:3 pbc="T T T"
Cr -2.242 3.081 1.866
Cd -0.713 2.081 -1.077
Cd -2.235 -0.264 0.968
Cd 0.706 1.264 1.976
Ni 0.000 0.000 0.000
```

Computed, not measured: crystalline CrCdNi at its relaxed geometry at the PBE level of DFT.

Calculated values
For the total energy, the calculation gives -4.745 eV per atom. The space-group type is F-43m. The size of the total moment comes out at 0.1 Bohr magnetons per cell. The formation energy comes out at 0.69 eV/atom. The volume is 16.046 A^3/atom. Its distance to the lowest polymorph of the same formula is 384.7 meV per atom.

Geometry as extended XYZ:
```
3
Lattice="-2.573 0.407 -3.145 -1.567 -3.314 -1.798 -3.955 -0.899 0.468" Properties=species:S:1:pos:R:3 pbc="T T T"
Ni -6.071 -2.854 -3.356
Cd 0.000 0.000 0.000
Cr -4.048 -1.903 -2.237
```

Computed, not measured: crystalline CrCdNi at its relaxed geometry at the PBE level of DFT.

Calculated values
For the total energy, the calculation gives -5.056 eV per atom. The space-group type is P3m1. The size of the total moment comes out at 3.7 Bohr magnetons per cell. The formation energy comes out at 0.38 eV/atom. The volume is 15.531 A^3/atom. Its distance to the lowest polymorph of the same formula is 73.5 meV per atom.

Geometry as extended XYZ:
```
3
Lattice="4.318 0.000 0.000 -2.159 3.740 0.000 0.000 0.000 2.885" Properties=species:S:1:pos:R:3 pbc="T T T"
Ni 0.000 2.493 1.455
Cd 0.000 0.000 2.883
Cr 2.159 1.247 1.433
```

Computed, not measured: crystalline CrCd4Ni at its relaxed geometry at the PBE level of DFT.

Calculated values
For the total energy, the calculation gives -2.702 eV per atom. The space-group type is F-43m. The size of the total moment comes out at 4.3 Bohr magnetons per cell. The formation energy comes out at 0.48 eV/atom. The volume is 20.044 A^3/atom.

Geometry as extended XYZ:
```
6
Lattice="4.255 -3.382 -1.072 -0.849 -4.734 -2.751 1.855 -0.558 -5.191" Properties=species:S:1:pos:R:3 pbc="T T T"
Cd 2.902 -3.530 -5.979
Cd 4.104 -4.945 -3.915
Cd 1.547 -5.622 -4.757
Cd 1.972 -3.250 -3.378
Cr 3.947 -6.505 -6.761
Ni 0.000 0.000 0.000
```

What did the fourth record say?
Computed, not measured: crystalline CrCdNi at its relaxed geometry at the PBE level of DFT.

Calculated values
For the total energy, the calculation gives -5.130 eV per atom. The space-group type is I4mm. The size of the total moment comes out at 0.0 Bohr magnetons per cell. The formation energy comes out at 0.31 eV/atom. The volume is 14.180 A^3/atom. Its distance to the lowest polymorph of the same formula is 0.0 meV per atom.

Geometry as extended XYZ:
```
3
Lattice="-0.076 -1.868 -5.726 2.591 -1.635 -5.186 0.189 -2.714 0.231" Properties=species:S:1:pos:R:3 pbc="T T T"
Ni 1.780 -3.253 -7.389
Cd 0.196 -2.717 0.198
Cr 0.917 -2.961 -3.257
```